Arrangement P

Compound: AcLaNi2
Source: Alexandria via LeMat-Bulk
Functional: GGA-PBE
Structure: relaxed

```
AcLaNi2
1.0
3.6261 0.0000 0.0000
0.0000 3.6261 0.0000
0.0000 0.0000 7.1748
Ac La Ni
1 1 2
Direct
0.0000 0.0000 0.0000 Ac
0.0000 0.0000 0.5000 La
0.5000 0.5000 0.2726 Ni
0.5000 0.5000 0.7274 Ni
```

Output
crystal system	tetragonal
Fermi-level density of states	4.2	states/eV/f.u.
M_tot	0.000	μB per atom

***

Arrangement Q

Compound: AcLaNi2
Source: Alexandria via LeMat-Bulk
Functional: GGA-PBE
Structure: relaxed

```
AcLaNi2
1.0
2.0702 1.1952 7.0354
-2.0702 1.1952 7.0354
0.0000 -2.3905 7.0354
Ac La Ni
1 1 2
Direct
0.0000 0.0000 0.0000 Ac
0.1734 0.1734 0.1734 La
0.4287 0.4287 0.4287 Ni
0.5800 0.5800 0.5800 Ni
```

Output
crystal system	trigonal
Fermi-level density of states	2.2	states/eV/f.u.
M_tot	0.000	μB per atom

***

Of them, the most stable is arrangement P and the least stable is arrangement Q.

***

Arrangement P

Compound: AcLaNiPt
Source: Alexandria via LeMat-Bulk
Functional: GGA-PBE
Structure: relaxed

```
AcLaNiPt
1.0
4.5313 0.0000 0.0000
0.0000 2.0349 5.5832
0.0000 -2.0349 5.5832
Ac La Ni Pt
1 1 1 1
Direct
0.0000 0.0000 0.0000 Ac
0.5000 0.2716 0.2716 La
0.0000 0.7227 0.7227 Ni
0.5000 0.5598 0.5598 Pt
```

Output
crystal system	orthorhombic
Fermi-level density of states	2.5	states/eV/f.u.
M_tot	0.000	μB per atom

***

Arrangement Q

Compound: AcLaNiPt
Source: Alexandria via LeMat-Bulk
Functional: GGA-PBE
Structure: relaxed

```
AcLaNiPt
1.0
0.0000 3.6801 3.6801
3.6801 0.0000 3.6801
3.6801 3.6801 0.0000
Ac La Ni Pt
1 1 1 1
Direct
0.0000 0.0000 0.0000 Ac
0.5000 0.5000 0.5000 La
0.7500 0.7500 0.7500 Ni
0.2500 0.2500 0.2500 Pt
```

Output
crystal system	cubic
Fermi-level density of states	4.1	states/eV/f.u.
M_tot	0.000	μB per atom

***

Of them, the most stable is arrangement P and the least stable is arrangement Q.

***

Arrangement P

Compound: AcLaNiRu
Source: Alexandria via LeMat-Bulk
Functional: GGA-PBE
Structure: relaxed

```
AcLaNiRu
1.0
0.0000 3.6216 3.6216
3.6216 0.0000 3.6216
3.6216 3.6216 0.0000
Ac La Ni Ru
1 1 1 1
Direct
0.0000 0.0000 0.0000 Ac
0.5000 0.5000 0.5000 La
0.7500 0.7500 0.7500 Ni
0.2500 0.2500 0.2500 Ru
```

Output
crystal system	cubic
Fermi-level density of states	4.6	states/eV/f.u.
M_tot	0.000	μB per atom

***

Arrangement Q

Compound: AcLaNiRu
Source: Alexandria via LeMat-Bulk
Functional: GGA-PBE
Structure: relaxed

```
AcLaNiRu
1.0
4.1442 0.0000 0.0000
0.0000 2.0400 5.8260
0.0000 -2.0400 5.8260
Ac La Ni Ru
1 1 1 1
Direct
0.0000 0.0000 0.0000 Ac
0.5000 0.2766 0.2766 La
0.5000 0.5775 0.5775 Ni
0.0000 0.7152 0.7152 Ru
```

Output
crystal system	orthorhombic
Fermi-level density of states	2.9	states/eV/f.u.
M_tot	0.000	μB per atom

***

Of them, the most stable is arrangement Q and the least stable is arrangement P.

***

Arrangement P

Compound: AcLaZnNi
Source: Alexandria via LeMat-Bulk
Functional: GGA-PBE
Structure: relaxed

```
AcLaZnNi
1.0
0.0000 3.7333 3.7333
3.7333 0.0000 3.7333
3.7333 3.7333 0.0000
Ac La Zn Ni
1 1 1 1
Direct
0.0000 0.0000 0.0000 Ac
0.5000 0.5000 0.5000 La
0.7500 0.7500 0.7500 Zn
0.2500 0.2500 0.2500 Ni
```

Output
crystal system	cubic
Fermi-level density of states	3.0	states/eV/f.u.
M_tot	0.000	μB per atom

***

Arrangement Q

Compound: AcLaZnNi
Source: Alexandria via LeMat-Bulk
Functional: GGA-PBE
Structure: relaxed

```
AcLaZnNi
1.0
4.4231 0.0000 0.0000
0.0000 2.2336 5.3560
0.0000 -2.2336 5.3560
Ac La Zn Ni
1 1 1 1
Direct
0.0000 0.0000 0.0000 Ac
0.5000 0.2897 0.2897 La
0.5000 0.5920 0.5920 Zn
0.0000 0.7134 0.7134 Ni
```

Output
crystal system	orthorhombic
Fermi-level density of states	3.9	states/eV/f.u.
M_tot	0.000	μB per atom

***

Of them, the most stable is arrangement Q and the least stable is arrangement P.

***

Arrangement P

Compound: AcLa3O6
Source: Alexandria via LeMat-Bulk
Functional: GGA-PBE
Structure: relaxed

```
AcLa3O6
1.0
5.1918 2.9975 4.0996
-5.1918 2.9975 4.0996
0.0000 -5.9949 4.0996
Ac La O
2 6 12
Direct
0.0000 0.0000 0.0000 Ac
0.5000 0.5000 0.5000 Ac
0.0503 0.5566 0.7514 La
0.2486 0.9497 0.4434 La
0.4434 0.2486 0.9497 La
0.5566 0.7514 0.0503 La
0.7514 0.0503 0.5566 La
0.9497 0.4434 0.2486 La
0.0233 0.8927 0.6753 O
0.1073 0.3247 0.9767 O
0.1779 0.6009 0.4319 O
0.3247 0.9767 0.1073 O
0.3991 0.5681 0.8221 O
0.4319 0.1779 0.6009 O
0.5681 0.8221 0.3991 O
0.6009 0.4319 0.1779 O
0.6753 0.0233 0.8927 O
0.8221 0.3991 0.5681 O
0.8927 0.6753 0.0233 O
0.9767 0.1073 0.3247 O
```

Output
crystal system	trigonal
Fermi-level density of states	0.0	states/eV/f.u.
M_tot	0.000	μB per atom

***

Arrangement Q

Compound: AcLa3O6
Source: Alexandria via LeMat-Bulk
Functional: GGA-PBE
Structure: relaxed

```
AcLa3O6
1.0
6.2249 0.0000 0.0000
0.0000 6.4232 0.0000
-6.2041 0.0000 9.0828
Ac La O
2 6 12
Direct
0.0000 0.0000 0.0000 Ac
0.0000 0.5000 0.5000 Ac
0.2257 0.0367 0.7295 La
0.2257 0.4633 0.2295 La
0.5000 0.0000 0.5000 La
0.5000 0.5000 0.0000 La
0.7743 0.5367 0.7705 La
0.7743 0.9633 0.2705 La
0.1164 0.1595 0.4529 O
0.1164 0.3405 0.9529 O
0.2109 0.6915 0.3949 O
0.2109 0.8085 0.8949 O
0.4134 0.1002 0.2589 O
0.4134 0.3998 0.7589 O
0.5866 0.6002 0.2411 O
0.5866 0.8998 0.7411 O
0.7891 0.1915 0.1051 O
0.7891 0.3085 0.6051 O
0.8836 0.6595 0.0471 O
0.8836 0.8405 0.5471 O
```

Output
crystal system	monoclinic
Fermi-level density of states	0.0	states/eV/f.u.
M_tot	0.000	μB per atom

***

Of them, the most stable is arrangement P and the least stable is arrangement Q.

***

Arrangement P

Compound: AcLa4Os
Source: Alexandria via LeMat-Bulk
Functional: GGA-PBE
Structure: relaxed

```
AcLa4Os
1.0
6.2619 0.0000 0.0000
0.0000 7.2705 0.0000
-1.9512 0.0000 9.2772
Ac La Os
2 8 2
Direct
0.2082 0.2500 0.4522 Ac
0.7918 0.7500 0.5478 Ac
0.1228 0.2500 0.0641 La
0.2074 0.7500 0.3204 La
0.3577 0.5124 0.8012 La
0.3577 0.9876 0.8012 La
0.6423 0.0124 0.1988 La
0.6423 0.4876 0.1988 La
0.7926 0.2500 0.6796 La
0.8772 0.7500 0.9359 La
0.3311 0.7500 0.0470 Os
0.6689 0.2500 0.9530 Os
```

Output
crystal system	monoclinic
Fermi-level density of states	8.2	states/eV/f.u.
M_tot	0.000	μB per atom

***

Arrangement Q

Compound: AcLa4Os
Source: Alexandria via LeMat-Bulk
Functional: GGA-PBE
Structure: relaxed

```
AcLa4Os
1.0
8.7580 -3.4671 0.0000
8.7580 3.4671 0.0000
-2.1954 0.0000 7.3577
Ac La Os
2 8 2
Direct
0.0702 0.9298 0.7500 Ac
0.9298 0.0702 0.2500 Ac
0.1067 0.2858 0.6430 La
0.2858 0.1067 0.1430 La
0.3093 0.4906 0.0206 La
0.4906 0.3093 0.5206 La
0.5094 0.6907 0.4794 La
0.6907 0.5094 0.9794 La
0.7142 0.8933 0.8570 La
0.8933 0.7142 0.3570 La
0.0000 0.5000 0.0000 Os
0.5000 0.0000 0.5000 Os
```

Output
crystal system	monoclinic
Fermi-level density of states	7.6	states/eV/f.u.
M_tot	0.000	μB per atom

***

Of them, the most stable is arrangement Q and the least stable is arrangement P.